No. 1
First-principles (PBE-GGA) data for a geometry-optimized Pm4Ho3Ga4 structure, as listed in Alexandria via LeMat-Bulk.

## Properties
* calculated formation energy: -0.41 eV/atom
* total magnetization: 0.0 μB/f.u.

Unit cell a=3.5449 b=9.0543 c=18.3051 alpha=90.00 beta=90.00 gamma=90.00
Space group Immm (No. 71)
Unique sites:
Pm 0.0000 0.1772 0.1657 (multiplicity 8)
Ho 0.0000 0.0000 0.4068 (multiplicity 4)
Ho 0.0000 0.5000 0.5000 (multiplicity 2)
Ga 0.0000 0.2771 0.0000 (multiplicity 4)
Ga 0.0000 0.5000 0.2226 (multiplicity 4)



No. 2
First-principles (PBE-GGA) data for a geometry-optimized CaSm12Er3 structure, as listed in Alexandria via LeMat-Bulk.

## Properties
* calculated formation energy: 0.03 eV/atom
* total magnetization: 0.0 μB/f.u.

Unit cell a=5.1159 b=5.1159 c=20.4480 alpha=90.00 beta=90.00 gamma=90.00
Space group P4/mmm (No. 123)
Unique sites:
Ca 0.0000 0.0000 0.0000 (multiplicity 1)
Sm 0.0000 0.5000 0.1303 (multiplicity 4)
Sm 0.0000 0.5000 0.3765 (multiplicity 4)
Sm 0.5000 0.5000 0.0000 (multiplicity 1)
Sm 0.5000 0.5000 0.2514 (multiplicity 2)
Sm 0.5000 0.5000 0.5000 (multiplicity 1)
Er 0.0000 0.0000 0.2518 (multiplicity 2)
Er 0.0000 0.0000 0.5000 (multiplicity 1)



No. 3
First-principles (PBE-GGA) data for a geometry-optimized LaTbAu6 structure, as listed in Alexandria via LeMat-Bulk.

## Properties
* calculated formation energy: -0.66 eV/atom
* total magnetization: 0.0 μB/f.u.

Unit cell a=8.7488 b=4.7274 c=9.1699 alpha=90.00 beta=113.14 gamma=90.00
Space group C2/m (No. 12)
Unique sites:
La 0.0000 0.0000 0.0000 (multiplicity 2)
Tb 0.0000 0.5000 0.5000 (multiplicity 2)
Au 0.1139 0.5000 0.8492 (multiplicity 4)
Au 0.1267 0.0000 0.3739 (multiplicity 4)
Au 0.2420 0.0000 0.7382 (multiplicity 4)



No. 4
First-principles (PBE-GGA) data for a geometry-optimized MnAsI3 structure, as listed in Alexandria via LeMat-Bulk.

## Properties
* E above lowest polymorph: 0.2865 eV per atom
* total magnetization: 0.2 μB/f.u.

Unit cell a=5.2079 b=5.2079 c=5.2079 alpha=90.00 beta=90.00 gamma=90.00
Space group Pm-3m (No. 221)
Unique sites:
Mn 0.0000 0.0000 0.0000 (multiplicity 1)
As 0.5000 0.5000 0.5000 (multiplicity 1)
I 0.0000 0.0000 0.5000 (multiplicity 3)